1.
{"formula": "Pr2TlIO8", "functional": "GGA-PBE", "state": "relaxed", "lattice_angstrom": [[4.9133, -0.1948, 0.0759], [-0.1866, 4.9535, 0.0671], [0.1242, 0.1154, 7.5186]], "species": ["Pr", "O", "O", "O", "Pr", "O", "O", "I", "Tl", "O", "O", "O"], "fractional_positions": [[0.4490, 0.4536, 0.7594], [0.8750, 0.2322, 0.8150], [0.2190, 0.8670, 0.8098], [0.6988, 0.7015, 0.5201], [0.5510, 0.5464, 0.2406], [0.7158, 0.7333, 0.9601], [0.1250, 0.7678, 0.1850], [0.0000, 0.0000, 0.0000], [0.0000, 0.0000, 0.5000], [0.3012, 0.2985, 0.4799], [0.2842, 0.2667, 0.0399], [0.7810, 0.1330, 0.1902]], "total_energy_ev_per_atom": -6.096, "magmom_total_mub_per_fu": 0.0, "raw_formation_energy_ev_per_atom": -1.67, "vol_a3_per_fu": 182.62}

***

2.
{"formula": "CaSb3I", "functional": "GGA-PBE", "state": "relaxed", "lattice_angstrom": [[-2.0435, -4.2690, -3.3987], [5.2981, -2.4207, -0.1449], [-1.3058, -3.1411, 4.7307]], "species": ["I", "Sb", "Sb", "Ca", "Sb"], "fractional_positions": [[0.5000, 0.5000, 0.5000], [0.0000, 0.5000, 0.0000], [0.5000, 0.0000, 0.0000], [0.0000, 0.0000, 0.0000], [0.0000, 0.0000, 0.5000]], "dos_at_fermi_per_ev_fu": 12.9, "total_energy_ev_per_atom": -2.615, "magmom_total_mub_per_fu": 0.0, "raw_formation_energy_ev_per_atom": 0.57, "vol_a3_per_fu": 197.82}

***

3.
{"formula": "Al2CoGe", "functional": "GGA-PBE", "state": "relaxed", "lattice_angstrom": [[-0.4646, 3.9012, -7.1605], [-0.5257, -7.1715, -3.8731], [-2.6902, -1.5703, -5.3390]], "species": ["Al", "Al", "Al", "Ge", "Ge", "Co", "Al", "Co"], "fractional_positions": [[0.3750, 0.5000, 0.7500], [0.2500, 0.6250, 0.2500], [0.8750, 0.7500, 0.7500], [0.0000, 0.0000, 0.0000], [0.7500, 0.2500, 0.5000], [0.2500, 0.7500, 0.5000], [0.5000, 0.1250, 0.2500], [0.5000, 0.5000, 0.0000]], "dos_at_fermi_per_ev_fu": 2.6, "total_energy_ev_per_atom": -4.677, "magmom_total_mub_per_fu": 0.0, "vol_a3_per_fu": 73.49}

***

4.
{"formula": "Pa3Cu", "functional": "GGA-PBE", "state": "relaxed", "lattice_angstrom": [[3.1512, 0.0000, 0.0000], [0.0000, 5.2930, 0.0000], [0.0000, 0.0000, 5.2936]], "species": ["Pa", "Cu", "Pa", "Pa"], "fractional_positions": [[0.5000, 0.5000, 0.9166], [0.0000, 0.0000, 0.9168], [0.0000, 0.5000, 0.4166], [0.5000, 0.0000, 0.4167]], "dos_at_fermi_per_ev_fu": 7.6, "total_energy_ev_per_atom": -8.117, "magmom_total_mub_per_fu": 0.0, "vol_a3_per_fu": 88.29}